(1)
Entry from the Alexandria database: a geometry-optimized Tl4Hg7Bi structure (PBE).

Properties
The value obtained for the energy above the lowest structure with this stoichiometry is 0 meV per atom. For the formation energy, the calculation gives 0.000 eV/atom. As for the magnetic moment: 0.0 μB per formula unit. The volume is 343 Å³ per cell.

a b c (Å): 5.4397 5.4397 13.4008
angles (deg): 90.00 90.00 120.00
Atoms (fractional coordinates):
1 Tl 0.3333 0.6667 0.9186
2 Hg 0.3333 0.6667 0.4171
3 Hg 0.6667 0.3333 0.5829
4 Hg 0.3333 0.6667 0.1801
5 Tl 0.6667 0.3333 0.0814
6 Bi 0.0000 0.0000 0.5000
7 Hg 0.0000 0.0000 0.0000
8 Hg 0.6667 0.3333 0.8199
9 Tl 0.6667 0.3333 0.3432
10 Hg 0.0000 0.0000 0.7532
11 Tl 0.3333 0.6667 0.6568
12 Hg 0.0000 0.0000 0.2468

(2)
Entry from the Alexandria database: a geometry-optimized ZrTlHg2Bi structure (PBE).

Properties
For the formation energy, the calculation gives 0.203 eV/atom. As for the magnetic moment: 0.0 μB per formula unit. The volume is 182 Å³ per cell.

a b c (Å): 5.6723 5.6593 5.6723
angles (deg): 90.00 90.00 90.00
Atoms (fractional coordinates):
1 Tl 0.5000 0.5000 0.5000
2 Zr 0.0000 0.0000 0.0000
3 Bi 0.0000 0.5000 0.0000
4 Hg 0.0000 0.0000 0.5000
5 Hg 0.5000 0.0000 0.0000

(3)
Entry from the Alexandria database: a geometry-optimized Tm3HgBi structure (PBE).

Properties
For the formation energy, the calculation gives -0.408 eV/atom. As for the magnetic moment: 0.0 μB per formula unit. The volume is 275 Å³ per cell.

a b c (Å): 5.0459 5.0318 11.1044
angles (deg): 103.10 90.00 90.00
Atoms (fractional coordinates):
1 Tm 0.7500 0.1199 0.8881
2 Tm 0.2500 0.4264 0.5011
3 Tm 0.7500 0.7298 0.1080
4 Tm 0.7500 0.9253 0.4989
5 Tm 0.2500 0.6218 0.8920
6 Hg 0.7500 0.5234 0.6952
7 Hg 0.2500 0.8283 0.3048
8 Bi 0.7500 0.3306 0.3095
9 Tm 0.2500 0.2318 0.1119
10 Bi 0.2500 0.0211 0.6905

Number 1: calculated total energy -1.288 eV per atom. Number 2: calculated total energy -2.877 eV per atom. Number 3: calculated total energy -3.927 eV per atom.